No. 1
Material: TbPm2PrDy2
Method: DFT, PBE-GGA
State: relaxed

**Raw total energy**: -4.4222 eV per atom
**Formation energy**: 0.26 eV/atom

Cell lengths 6.649, 18.037, 3.422 Å; angles 90.00, 90.00, 90.00 degrees
Space group Pnnm (No. 58)
Symmetry-distinct sites (fractional):
Tb: 0.000 0.000 0.000 [2 per cell]
Pm: 0.230 0.185 0.000 [4 per cell]
Pr: 0.000 0.500 0.000 [2 per cell]
Dy: 0.229 0.352 0.500 [4 per cell]

No. 2
Material: Nd3Mn5H12
Method: DFT, PBE-GGA
State: relaxed

**Raw total energy**: -5.1547 eV per atom

Cell lengths 11.635, 11.635, 11.635 Å; angles 90.00, 90.00, 90.00 degrees
Space group Ia-3d (No. 230)
Symmetry-distinct sites (fractional):
Nd: 0.000 0.250 0.125 [24 per cell]
Mn: 0.000 0.000 0.000 [16 per cell]
Mn: 0.000 0.250 0.375 [24 per cell]
H: 0.032 0.049 0.634 [96 per cell]

No. 3
Material: Ac6CdI8
Method: DFT, PBE-GGA
State: relaxed

**Raw total energy**: -3.6111 eV per atom
**Formation energy from raw total energies**: -104.2 kJ/mol of atoms

Cell lengths 8.1265, 8.1265, 36.1696 Å; angles 90.00, 90.00, 120.00 degrees
Space group R-3 (No. 148, hexagonal axes)
Symmetry-distinct sites (fractional):
Ac: 0.0001 0.3179 0.0524 [18 per cell]
Cd: 0.0000 0.0000 0.0000 [3 per cell]
I: 0.0000 0.0000 0.3333 [6 per cell]
I: 0.0001 0.3398 0.8900 [18 per cell]

No. 4
Material: Ac2SnSb3Pd4
Method: DFT, PBE-GGA
State: relaxed

**Raw total energy**: -5.4255 eV per atom
**Formation energy from raw total energies**: -85.8 kJ/mol of atoms

Cell lengths 4.694, 4.694, 10.903 Å; angles 90.00, 90.00, 90.00 degrees
Space group P-4m2 (No. 115)
Symmetry-distinct sites (fractional):
Ac: 0.000 0.500 0.239 [2 per cell]
Sn: 0.000 0.000 0.500 [1 per cell]
Sb: 0.000 0.500 0.872 [2 per cell]
Sb: 0.500 0.500 0.500 [1 per cell]
Pd: 0.000 0.000 0.000 [1 per cell]
Pd: 0.000 0.500 0.629 [2 per cell]
Pd: 0.500 0.500 0.000 [1 per cell]

No. 5
Material: LaGdTm
Method: DFT, PBE-GGA
State: relaxed

**Raw total energy**: -7.7965 eV per atom
**Excess energy over the best structure of this formula in the dataset**: 0.0 kJ/mol of atoms
**Formation energy**: 0.03 eV/atom

Cell lengths 3.640, 3.640, 15.079 Å; angles 90.00, 90.00, 90.00 degrees
Space group I4mm (No. 107)
Symmetry-distinct sites (fractional):
La: 0.000 0.000 0.000 [2 per cell]
Gd: 0.000 0.000 0.672 [2 per cell]
Tm: 0.000 0.000 0.334 [2 per cell]

No. 6
Material: PRuPb
Method: DFT, PBE-GGA
State: relaxed

**Raw total energy**: -6.1752 eV per atom
**Formation energy**: -0.04 eV/atom

Cell lengths 3.043, 3.043, 12.707 Å; angles 90.00, 90.00, 90.00 degrees
Space group I4mm (No. 107)
Symmetry-distinct sites (fractional):
P: 0.000 0.000 0.000 [2 per cell]
Ru: 0.000 0.000 0.585 [2 per cell]
Pb: 0.000 0.000 0.268 [2 per cell]

No. 7
Material: Ca2MoOs
Method: DFT, PBE-GGA
State: relaxed

**Raw total energy**: -6.2449 eV per atom
**Excess energy over the best structure of this formula in the dataset**: 2.3 kJ/mol of atoms
**Formation energy**: 0.27 eV/atom

Cell lengths 3.248, 3.248, 9.178 Å; angles 90.00, 90.00, 90.00 degrees
Space group P4mm (No. 99)
Symmetry-distinct sites (fractional):
Ca: 0.000 0.000 0.000 [1 per cell]
Ca: 0.500 0.500 0.383 [1 per cell]
Mo: 0.500 0.500 0.749 [1 per cell]
Os: 0.000 0.000 0.619 [1 per cell]

No. 8
Material: ErAs3Pd3
Method: DFT, PBE-GGA
State: relaxed

**Raw total energy**: -5.0441 eV per atom
**Formation energy**: -0.17 eV/atom

Cell lengths 6.818, 6.818, 6.818 Å; angles 90.00, 90.00, 90.00 degrees
Space group Pm-3n (No. 223)
Symmetry-distinct sites (fractional):
Er: 0.000 0.000 0.000 [2 per cell]
As: 0.000 0.250 0.500 [6 per cell]
Pd: 0.000 0.500 0.250 [6 per cell]

> What is the raw total energy in the second record?

-5.1547 eV per atom